A plane-wave DFT calculation with PBE was carried out for an optimized crystal structure of La3BeF.

```
La3BeF
1.0
5.043 0.000 0.000
0.000 5.043 0.000
0.000 0.000 5.043
La Be F
3 1 1
Direct
0.000 0.000 0.500
0.000 0.500 0.000
0.500 0.000 0.000
0.500 0.500 0.500
0.000 0.000 0.000
```

Values from the calculation:
Relative energy among the computed polymorphs: 0 meV/atom
Magnetic moment: 0.00 Bohr magnetons per cell
Formation energy without anion corrections: -722 meV/atom
Electronic total energy: -4.80 eV per atom


A plane-wave DFT calculation with PBE was carried out for an optimized crystal structure of KLiZnH4.

```
KLiZnH4
1.0
4.727 0.000 0.000
0.000 5.491 0.000
-1.745 0.000 7.016
K Li Zn H
2 2 2 8
Direct
0.234 0.250 0.123
0.766 0.750 0.877
0.160 0.750 0.503
0.840 0.250 0.497
0.369 0.250 0.695
0.631 0.750 0.305
0.146 0.012 0.697
0.146 0.488 0.697
0.359 0.750 0.117
0.448 0.250 0.489
0.552 0.750 0.511
0.641 0.250 0.883
0.854 0.512 0.303
0.854 0.988 0.303
```

Values from the calculation:
Magnetic moment: 0.00 Bohr magnetons per cell
Electronic total energy: -2.75 eV per atom